Entry 1:
Below is NaV2Os after structural relaxation, with properties calculated at the PBE-GGA level.

## Properties
- crystal system = cubic
- formation energy (kJ/mol of formula units) = 213.2

a b c (Å): 6.192 6.192 6.192
angles (deg): 90.00 90.00 90.00
Space group Fm-3m (No. 225)
Unique sites:
Na: 0.000 0.000 0.000
V: 0.250 0.250 0.250
Os: 0.000 0.000 0.500

***

Entry 2:
Below is TmGaSb2 after structural relaxation, with properties calculated at the PBE-GGA level.

## Properties
- E_form (uncorrected) (kcal/mol of atoms) = -7.28
- crystal system = trigonal

a b c (Å): 4.8122 4.8122 17.4381
angles (deg): 90.00 90.00 120.00
Space group R3m (No. 160, hexagonal axes)
Unique sites:
Tm: 0.0000 0.0000 0.0000
Ga: 0.0000 0.0000 0.1754
Sb: 0.0000 0.0000 0.4121
Sb: 0.0000 0.0000 0.5791

***

Calculated total energy in order - -7.14 -4.25 eV/atom